Record 1
VASP calculation (PBE) on a relaxed structure of MnTc2AgGe.

Results
For the total magnetization, the calculation gives 1.69 μB per cell. The crystal system is tetragonal. For the density of states at the Fermi level, the calculation gives 0.913 states/eV per atom. The final energy is -32.27 eV for the cell shown.

Cell and atoms, written as POSCAR:
```
MnTc2AgGe
1.0
-0.5166 2.6730 -3.5899
1.7492 -3.2026 -2.6364
-4.1192 -1.6973 -0.6711
Ge Mn Tc Ag
1 1 2 1
Cartesian
0.8746 -1.6013 -1.3182 Ge
0.0000 0.0000 0.0000 Mn
-2.0596 -0.8487 -0.3355 Tc
-0.2583 1.3365 -1.7949 Tc
-1.4433 -1.1135 -3.4487 Ag
```


Record 2
VASP calculation (PBE) on a relaxed structure of La2InCoSb.

Results
For the total magnetization, the calculation gives 0.00 μB per cell. The calculation puts the uncorrected formation energy at -3.13 eV per formula unit. The crystal system is tetragonal. For the density of states at the Fermi level, the calculation gives 0.525 states/eV per atom. The final energy is -26.95 eV for the cell shown.

Cell and atoms, written as POSCAR:
```
La2InCoSb
1.0
5.2687 0.0000 0.0000
0.0000 5.2687 0.0000
0.0000 0.0000 4.9361
Sb In Co La
1 1 1 2
Cartesian
2.6344 2.6344 2.4681 Sb
0.0000 0.0000 2.4681 In
0.0000 0.0000 0.0000 Co
0.0000 2.6344 0.0000 La
2.6344 0.0000 0.0000 La
```


Record 3
VASP calculation (PBE) on a relaxed structure of YOsO3.

Results
For the total magnetization, the calculation gives 0.00 μB per cell. The calculation puts the uncorrected formation energy at -7.17 eV per formula unit. The crystal system is cubic. For the density of states at the Fermi level, the calculation gives 0.758 states/eV per atom. The final energy is -39.74 eV for the cell shown.

Cell and atoms, written as POSCAR:
```
YOsO3
1.0
-2.4968 2.6099 -1.5630
-1.5946 -2.8448 -2.2030
-2.5907 -0.7644 2.8623
Y Os O
1 1 3
Cartesian
-3.3411 -0.4996 -0.4518 Y
0.0000 0.0000 0.0000 Os
-0.7973 -1.4224 -1.1015 O
-1.2954 -0.3822 1.4312 O
-1.2484 1.3050 -0.7815 O
```